Entry from the Alexandria database: crystalline Ce2NdIn2Ag2 at its relaxed geometry (PBE-GGA).

a = 4.7642 Å, b = 4.7642 Å, c = 9.4668 Å
α = 75.43°, β = 75.43°, γ = 60.00°
Each line ends with the local moment (μB).
Positions (direct):
Ce (0.1425, 0.1425, 0.5726)  0.65
Ce (0.8575, 0.8575, 0.4274)  0.65
Nd (0.0000, 0.0000, 0.0000)  0.01
In (0.7350, 0.7350, 0.7950)  -0.02
In (0.2650, 0.2650, 0.2050)  -0.02
Ag (0.5805, 0.5805, 0.2586)  -0.01
Ag (0.4195, 0.4195, 0.7414)  -0.01

theoretical density	8.11	g/cm³
SG	R-3m (166)
DFT formation energy	-173	kJ/mol of formula units
N(E_F)	1.53	states/eV per atom